(1)
Below is an optimized crystal structure of SrZrTc, with properties calculated at the PBE level. Values from VASP.

```
&SYSTEM
  ibrav = 0, nat = 3, ntyp = 3
/
ATOMIC_SPECIES
Sr 87.62 Sr.upf
Tc 98.00 Tc.upf
Zr 91.22 Zr.upf
ATOMIC_POSITIONS crystal
Sr 0.000 0.000 0.038
Tc 0.667 0.333 0.368
Zr 0.333 0.667 0.595
CELL_PARAMETERS angstrom
3.507 0.000 0.000
-1.753 3.037 0.000
0.000 0.000 7.330
```

**Calculated density**: 5.89 g/cm3
**DOS at the Fermi energy**: 2.7 states/eV/cell
**Symmetry**: P3m1
**Total DFT energy (no corrections)**: -6.390 eV/atom
**Calculated formation energy**: 0.48 eV per atom
**E above lowest polymorph**: 0.71 eV/f.u.



(2)
Below is an optimized crystal structure of SrZr2Tc, with properties calculated at the PBE level. Values from VASP.

```
&SYSTEM
  ibrav = 0, nat = 4, ntyp = 3
/
ATOMIC_SPECIES
Sr 87.62 Sr.upf
Tc 98.00 Tc.upf
Zr 91.22 Zr.upf
ATOMIC_POSITIONS crystal
Sr 0.500 0.000 0.500
Tc 0.000 0.500 0.500
Zr 0.000 0.000 0.000
Zr 0.500 0.500 0.000
CELL_PARAMETERS angstrom
6.103 0.000 0.020
-2.798 5.424 0.020
0.681 1.117 2.732
```

**Calculated density**: 6.78 g/cm3
**DOS at the Fermi energy**: 5.3 states/eV/cell
**Symmetry**: C2/m
**Total DFT energy (no corrections)**: -6.636 eV/atom
**Calculated formation energy**: 0.65 eV per atom
**E above lowest polymorph**: 2.35 eV/f.u.



(3)
Below is an optimized crystal structure of Sr2ZrTc, with properties calculated at the PBE level. Values from VASP.

```
&SYSTEM
  ibrav = 0, nat = 4, ntyp = 3
/
ATOMIC_SPECIES
Sr 87.62 Sr.upf
Tc 98.00 Tc.upf
Zr 91.22 Zr.upf
ATOMIC_POSITIONS crystal
Sr 0.000 0.000 0.036
Sr 0.000 0.000 0.464
Tc 0.500 0.500 0.250
Zr 0.500 0.500 0.750
CELL_PARAMETERS angstrom
-0.805 1.846 2.588
-3.091 0.145 -1.085
-2.313 -8.632 5.437
```

**Calculated density**: 5.38 g/cm3
**DOS at the Fermi energy**: 5.5 states/eV/cell
**Symmetry**: Cmmm
**Total DFT energy (no corrections)**: -4.638 eV/atom
**Calculated formation energy**: 0.93 eV per atom
**E above lowest polymorph**: 2.83 eV/f.u.



(4)
Below is an optimized crystal structure of SrZr2Tc, with properties calculated at the PBE level. Values from VASP.

```
&SYSTEM
  ibrav = 0, nat = 4, ntyp = 3
/
ATOMIC_SPECIES
Sr 87.62 Sr.upf
Tc 98.00 Tc.upf
Zr 91.22 Zr.upf
ATOMIC_POSITIONS crystal
Sr 0.500 0.000 0.500
Tc 0.000 0.500 0.500
Zr 0.000 0.000 0.000
Zr 0.500 0.500 0.000
CELL_PARAMETERS angstrom
-0.085 -0.059 -4.919
4.470 -2.056 -0.041
-1.546 -3.362 0.067
```

**Calculated density**: 6.82 g/cm3
**DOS at the Fermi energy**: 4.1 states/eV/cell
**Symmetry**: Cmmm
**Total DFT energy (no corrections)**: -6.651 eV/atom
**Calculated formation energy**: 0.64 eV per atom
**E above lowest polymorph**: 2.30 eV/f.u.



(5)
Below is an optimized crystal structure of SrZrTc4, with properties calculated at the PBE level. Values from VASP.

```
&SYSTEM
  ibrav = 0, nat = 6, ntyp = 3
/
ATOMIC_SPECIES
Sr 87.62 Sr.upf
Zr 91.22 Zr.upf
Tc 98.00 Tc.upf
ATOMIC_POSITIONS crystal
Sr 0.000 0.000 0.000
Zr 0.750 0.750 0.750
Tc 0.874 0.375 0.375
Tc 0.375 0.375 0.874
Tc 0.375 0.874 0.375
Tc 0.375 0.375 0.375
CELL_PARAMETERS angstrom
0.000 3.819 3.819
3.819 0.000 3.819
3.819 3.819 0.000
```

**Calculated density**: 8.51 g/cm3
**DOS at the Fermi energy**: 6.8 states/eV/cell
**Symmetry**: F-43m
**Total DFT energy (no corrections)**: -8.398 eV/atom
**Calculated formation energy**: 0.22 eV per atom



(6)
Below is an optimized crystal structure of SrZrTc2, with properties calculated at the PBE level. Values from VASP.

```
&SYSTEM
  ibrav = 0, nat = 4, ntyp = 3
/
ATOMIC_SPECIES
Sr 87.62 Sr.upf
Tc 98.00 Tc.upf
Zr 91.22 Zr.upf
ATOMIC_POSITIONS crystal
Sr 0.500 0.000 0.500
Tc 0.000 0.000 0.000
Tc 0.000 0.500 0.500
Zr 0.500 0.500 0.000
CELL_PARAMETERS angstrom
-0.665 -2.318 -2.301
4.758 -0.135 -1.238
0.768 -3.532 3.336
```

**Calculated density**: 7.72 g/cm3
**DOS at the Fermi energy**: 6.4 states/eV/cell
**Symmetry**: P4/mmm
**Total DFT energy (no corrections)**: -7.034 eV/atom
**Calculated formation energy**: 0.71 eV per atom
**E above lowest polymorph**: 1.61 eV/f.u.



(7)
Below is an optimized crystal structure of SrZr2Tc, with properties calculated at the PBE level. Values from VASP.

```
&SYSTEM
  ibrav = 0, nat = 4, ntyp = 3
/
ATOMIC_SPECIES
Sr 87.62 Sr.upf
Tc 98.00 Tc.upf
Zr 91.22 Zr.upf
ATOMIC_POSITIONS crystal
Sr 0.500 0.250 0.250
Tc 0.500 0.750 0.750
Zr 0.000 0.084 0.916
Zr 0.000 0.416 0.584
CELL_PARAMETERS angstrom
-2.833 0.274 1.723
1.577 -1.002 2.753
3.660 7.854 4.767
```

**Calculated density**: 5.92 g/cm3
**DOS at the Fermi energy**: 4.0 states/eV/cell
**Symmetry**: P2/m
**Total DFT energy (no corrections)**: -7.225 eV/atom
**Calculated formation energy**: 0.06 eV per atom
**E above lowest polymorph**: 0.00 eV/f.u.



(8)
Below is an optimized crystal structure of SrZrTc2, with properties calculated at the PBE level. Values from VASP.

```
&SYSTEM
  ibrav = 0, nat = 4, ntyp = 3
/
ATOMIC_SPECIES
Sr 87.62 Sr.upf
Tc 98.00 Tc.upf
Zr 91.22 Zr.upf
ATOMIC_POSITIONS crystal
Sr 0.500 0.750 0.750
Tc 0.000 0.967 0.089
Tc 0.000 0.533 0.411
Zr 0.500 0.250 0.250
CELL_PARAMETERS angstrom
-2.539 -3.101 1.806
2.167 -2.180 -0.697
3.712 0.253 5.651
```

**Calculated density**: 6.73 g/cm3
**DOS at the Fermi energy**: 4.3 states/eV/cell
**Symmetry**: P2/m
**Total DFT energy (no corrections)**: -7.312 eV/atom
**Calculated formation energy**: 0.43 eV per atom
**E above lowest polymorph**: 0.49 eV/f.u.



(9)
Below is an optimized crystal structure of SrZrTc2, with properties calculated at the PBE level. Values from VASP.

```
&SYSTEM
  ibrav = 0, nat = 4, ntyp = 3
/
ATOMIC_SPECIES
Sr 87.62 Sr.upf
Tc 98.00 Tc.upf
Zr 91.22 Zr.upf
ATOMIC_POSITIONS crystal
Sr 0.250 0.250 0.250
Tc 0.013 0.013 0.919
Tc 0.487 0.487 0.581
Zr 0.750 0.750 0.750
CELL_PARAMETERS angstrom
-3.100 -1.502 -3.071
-1.850 -3.972 -1.449
-5.201 0.040 4.069
```

**Calculated density**: 6.84 g/cm3
**DOS at the Fermi energy**: 6.2 states/eV/cell
**Symmetry**: C2/m
**Total DFT energy (no corrections)**: -7.178 eV/atom
**Calculated formation energy**: 0.56 eV per atom
**E above lowest polymorph**: 1.03 eV/f.u.



(10)
Below is an optimized crystal structure of SrZrTc2, with properties calculated at the PBE level. Values from VASP.

```
&SYSTEM
  ibrav = 0, nat = 4, ntyp = 3
/
ATOMIC_SPECIES
Sr 87.62 Sr.upf
Tc 98.00 Tc.upf
Zr 91.22 Zr.upf
ATOMIC_POSITIONS crystal
Sr 0.750 0.250 0.500
Tc 0.000 0.000 0.000
Tc 0.250 0.750 0.500
Zr 0.500 0.500 0.000
CELL_PARAMETERS angstrom
5.742 -0.015 0.000
2.959 4.921 0.000
-4.351 -2.453 2.833
```

**Calculated density**: 7.76 g/cm3
**DOS at the Fermi energy**: 4.4 states/eV/cell
**Symmetry**: I-4m2
**Total DFT energy (no corrections)**: -6.898 eV/atom
**Calculated formation energy**: 0.84 eV per atom
**E above lowest polymorph**: 2.15 eV/f.u.



(11)
Below is an optimized crystal structure of SrZrTc2, with properties calculated at the PBE level. Values from VASP.

```
&SYSTEM
  ibrav = 0, nat = 8, ntyp = 3
/
ATOMIC_SPECIES
Sr 87.62 Sr.upf
Tc 98.00 Tc.upf
Zr 91.22 Zr.upf
ATOMIC_POSITIONS crystal
Sr 0.500 0.500 0.000
Sr 0.250 0.750 0.500
Tc 0.831 0.125 0.250
Tc 0.919 0.625 0.250
Tc 0.375 0.169 0.750
Tc 0.875 0.081 0.750
Zr 0.000 0.000 0.000
Zr 0.750 0.250 0.500
CELL_PARAMETERS angstrom
4.860 0.000 0.000
0.000 4.860 0.000
2.430 2.430 9.212
```

**Calculated density**: 5.72 g/cm3
**DOS at the Fermi energy**: 10.2 states/eV/cell
**Symmetry**: I-42d
**Total DFT energy (no corrections)**: -6.852 eV/atom
**Calculated formation energy**: 0.89 eV per atom
**E above lowest polymorph**: 2.33 eV/f.u.



(12)
Below is an optimized crystal structure of Sr2ZrTc, with properties calculated at the PBE level. Values from VASP.

```
&SYSTEM
  ibrav = 0, nat = 4, ntyp = 3
/
ATOMIC_SPECIES
Sr 87.62 Sr.upf
Tc 98.00 Tc.upf
Zr 91.22 Zr.upf
ATOMIC_POSITIONS crystal
Sr 0.000 0.049 0.949
Sr 0.500 0.176 0.326
Tc 0.000 0.446 0.554
Zr 0.500 0.829 0.671
CELL_PARAMETERS angstrom
-2.817 -0.592 -2.108
1.136 -3.329 -0.583
-3.932 -6.413 7.054
```

**Calculated density**: 4.92 g/cm3
**DOS at the Fermi energy**: 5.9 states/eV/cell
**Symmetry**: Pm
**Total DFT energy (no corrections)**: -5.346 eV/atom
**Calculated formation energy**: 0.22 eV per atom
**E above lowest polymorph**: 0.00 eV/f.u.



(13)
Below is an optimized crystal structure of SrZr2Tc, with properties calculated at the PBE level. Values from VASP.

```
&SYSTEM
  ibrav = 0, nat = 4, ntyp = 3
/
ATOMIC_SPECIES
Sr 87.62 Sr.upf
Tc 98.00 Tc.upf
Zr 91.22 Zr.upf
ATOMIC_POSITIONS crystal
Sr 0.000 0.000 0.539
Tc 0.500 0.500 0.779
Zr 0.000 0.000 0.965
Zr 0.500 0.500 0.218
CELL_PARAMETERS angstrom
-1.425 -0.845 2.713
-1.930 -0.165 -2.521
2.850 -9.757 -1.543
```

**Calculated density**: 6.39 g/cm3
**DOS at the Fermi energy**: 5.0 states/eV/cell
**Symmetry**: Cmm2
**Total DFT energy (no corrections)**: -6.877 eV/atom
**Calculated formation energy**: 0.41 eV per atom
**E above lowest polymorph**: 1.39 eV/f.u.



(14)
Below is an optimized crystal structure of Sr2ZrTc, with properties calculated at the PBE level. Values from VASP.

```
&SYSTEM
  ibrav = 0, nat = 4, ntyp = 3
/
ATOMIC_SPECIES
Sr 87.62 Sr.upf
Tc 98.00 Tc.upf
Zr 91.22 Zr.upf
ATOMIC_POSITIONS crystal
Sr 0.000 0.000 0.000
Sr 0.500 0.500 0.000
Tc 0.500 0.000 0.500
Zr 0.000 0.500 0.500
CELL_PARAMETERS angstrom
4.308 0.000 0.000
0.000 4.308 0.000
0.000 0.000 5.529
```

**Calculated density**: 5.90 g/cm3
**DOS at the Fermi energy**: 3.1 states/eV/cell
**Symmetry**: P4/mmm
**Total DFT energy (no corrections)**: -4.774 eV/atom
**Calculated formation energy**: 0.80 eV per atom
**E above lowest polymorph**: 2.29 eV/f.u.



(15)
Below is an optimized crystal structure of SrZr2Tc, with properties calculated at the PBE level. Values from VASP.

```
&SYSTEM
  ibrav = 0, nat = 4, ntyp = 3
/
ATOMIC_SPECIES
Sr 87.62 Sr.upf
Tc 98.00 Tc.upf
Zr 91.22 Zr.upf
ATOMIC_POSITIONS crystal
Sr 0.500 0.500 0.500
Tc 0.000 0.000 0.500
Zr 0.000 0.000 0.000
Zr 0.500 0.500 0.000
CELL_PARAMETERS angstrom
2.960 0.000 0.000
0.000 5.835 -0.010
0.000 2.988 5.220
```

**Calculated density**: 6.77 g/cm3
**DOS at the Fermi energy**: 5.3 states/eV/cell
**Symmetry**: P2/m
**Total DFT energy (no corrections)**: -6.615 eV/atom
**Calculated formation energy**: 0.67 eV per atom
**E above lowest polymorph**: 2.44 eV/f.u.